{"formula": "KNdTeO", "functional": "GGA-PBE", "state": "optimized geometry", "cell": [[8.3900, 0.0000, 0.0000], [0.0000, 7.8570, 0.0000], [-0.8815, 0.0000, 6.8576]], "species": ["K", "K", "K", "K", "Nd", "Nd", "Nd", "Nd", "Te", "Te", "Te", "Te", "O", "O", "O", "O"], "fractional_positions": [[0.1069, 0.1825, 0.4410], [0.1069, 0.3175, 0.9410], [0.8931, 0.6825, 0.0590], [0.8931, 0.8175, 0.5590], [0.4764, 0.6295, 0.7844], [0.4764, 0.8705, 0.2844], [0.5236, 0.1295, 0.7156], [0.5236, 0.3705, 0.2156], [0.2244, 0.5816, 0.3784], [0.2244, 0.9184, 0.8784], [0.7756, 0.0816, 0.1216], [0.7756, 0.4184, 0.6216], [0.4211, 0.1475, 0.3940], [0.4211, 0.3525, 0.8940], [0.5789, 0.6475, 0.1060], [0.5789, 0.8525, 0.6060]], "spacegroup": "No. 14", "polymorph_energy_mev_per_atom": 0.0}